Entry 1:
{"formula": "PrNiH6Rh", "functional": "PBE", "state": "relaxed", "lattice_angstrom": [[4.6615, 0.0000, 0.0000], [2.3308, 4.0369, 0.0001], [0.0000, -0.0001, 4.2385]], "species": ["Pr", "Ni", "H", "H", "H", "H", "H", "H", "Rh"], "fractional_positions": [[0.0000, 0.0000, 0.0000], [0.6666, 0.6667, 0.5000], [0.9886, 0.5053, 0.2512], [0.5053, 0.9887, 0.7488], [0.5060, 0.5053, 0.7488], [0.9886, 0.5060, 0.7488], [0.5053, 0.5061, 0.2512], [0.5060, 0.9887, 0.2512], [0.3333, 0.3333, 0.5000]], "space_group": "P-6m2 (187)", "total_energy_ev_per_cell": -41.4, "mass_density_g_cm3": 6.4}

=====

Entry 2:
{"formula": "GeBi3Pd", "functional": "PBE", "state": "relaxed", "lattice_angstrom": [[-2.4464, 0.3125, -4.8634], [0.2868, -5.4231, -0.4928], [-4.8650, -0.4769, 2.4166]], "species": ["Ge", "Bi", "Bi", "Bi", "Pd"], "fractional_positions": [[0.0000, 0.0000, 0.0000], [0.0000, 0.5000, 0.0000], [0.0000, 0.0000, 0.5000], [0.5000, 0.0000, 0.0000], [0.5000, 0.5000, 0.5000]], "space_group": "Pm-3m (221)", "total_energy_ev_per_cell": -17.4, "mass_density_g_cm3": 8.3}